## MgHgSeO4 (PBE)

Data for an optimized crystal structure of MgHgSeO4.

Structure (POSCAR):
```
MgHgSeO4
1.0
-3.318 3.639 4.129
3.318 -3.639 4.129
3.318 3.639 -4.129
Mg Hg Se O
2 2 2 8
Direct
0.500 0.000 0.000
0.500 0.500 0.500
0.000 0.000 0.000
0.500 0.000 0.500
0.099 0.349 0.750
0.901 0.651 0.250
0.225 0.275 0.549
0.225 0.676 0.951
0.306 0.243 0.063
0.320 0.757 0.563
0.680 0.243 0.437
0.694 0.757 0.937
0.775 0.324 0.049
0.775 0.725 0.451
```

Summary:
E, eV per cell: -65.90
ΔE_f (raw), eV per atom: -1.11

=====

## Tl2HgBr4 (PBE)

Data for an optimized crystal structure of Tl2HgBr4.

Structure (POSCAR):
```
Tl2HgBr4
1.0
7.491 -2.309 0.000
7.491 2.309 0.000
-4.124 0.000 7.476
Tl Hg Br
2 1 4
Direct
0.159 0.159 0.218
0.841 0.841 0.782
0.500 0.500 0.500
0.166 0.166 0.600
0.472 0.472 0.181
0.528 0.528 0.819
0.834 0.834 0.400
```

Summary:
E, eV per cell: -16.45
Energy above the lowest structure with this stoichiometry, meV per atom: 4
ΔE_f (raw), eV per atom: -0.68

=====

## Ti4In2Co (PBE)

Data for an optimized crystal structure of Ti4In2Co.

Structure (POSCAR):
```
Ti4In2Co
1.0
8.157 0.000 0.000
0.000 10.523 0.000
0.000 0.000 3.008
Ti In Co
8 4 2
Direct
0.139 0.190 0.000
0.198 0.905 0.500
0.302 0.405 0.500
0.361 0.690 0.000
0.639 0.310 0.000
0.698 0.595 0.500
0.802 0.095 0.500
0.861 0.810 0.000
0.065 0.632 0.500
0.435 0.132 0.500
0.565 0.868 0.500
0.935 0.368 0.500
0.000 0.000 0.000
0.500 0.500 0.000
```

Summary:
E, eV per cell: -88.30
Formation enthalpy at 0 K, eV per atom: 0.002
Energy above the lowest structure with this stoichiometry, meV per atom: 0

=====

## AlTlRu (PBE)

Data for an optimized crystal structure of AlTlRu.

Structure (POSCAR):
```
AlTlRu
1.0
4.284 0.000 0.000
-2.142 3.710 0.000
0.000 0.000 3.400
Al Tl Ru
1 1 1
Direct
0.000 0.000 0.000
0.333 0.667 0.500
0.667 0.333 0.000
```

Summary:
E, eV per cell: -14.89
Formation enthalpy at 0 K, eV per atom: 0.164
Energy above the lowest structure with this stoichiometry, meV per atom: 154

=====

## Na2Li3Au2 (PBE)

Data for an optimized crystal structure of Na2Li3Au2.

Structure (POSCAR):
```
Na2Li3Au2
1.0
-4.099 4.099 4.099
4.099 -4.099 4.099
4.099 4.099 -4.099
Na Li Au
4 6 4
Direct
0.000 0.821 0.500
0.500 0.000 0.821
0.679 0.679 0.679
0.821 0.500 0.000
0.203 0.750 0.953
0.250 0.547 0.297
0.297 0.250 0.547
0.547 0.297 0.250
0.750 0.953 0.203
0.953 0.203 0.750
0.000 0.411 0.500
0.089 0.089 0.089
0.411 0.500 0.000
0.500 0.000 0.411
```

Summary:
E, eV per cell: -33.06
Formation enthalpy at 0 K, eV per atom: -0.228
Energy above the lowest structure with this stoichiometry, meV per atom: 95

=====

## TiTl2In (PBE)

Data for an optimized crystal structure of TiTl2In.

Structure (POSCAR):
```
TiTl2In
1.0
-4.065 4.065 3.076
4.065 -4.065 3.076
4.065 4.065 -3.076
Ti Tl In
2 4 2
Direct
0.000 0.000 0.000
0.750 0.250 0.500
0.109 0.625 0.984
0.375 0.359 0.484
0.641 0.125 0.016
0.875 0.891 0.516
0.250 0.750 0.500
0.500 0.500 0.000
```

Summary:
E, eV per cell: -27.63
Formation enthalpy at 0 K, eV per atom: 0.387
Energy above the lowest structure with this stoichiometry, meV per atom: 4

=====

Q: The highest E belongs to which entry?
A: AlTlRu

=====

Q: What is the E in the second record?
A: -16.45 eV per cell

=====

Repeat the fourth record exactly.
## AlTlRu (PBE)

Data for an optimized crystal structure of AlTlRu.

Structure (POSCAR):
```
AlTlRu
1.0
4.284 0.000 0.000
-2.142 3.710 0.000
0.000 0.000 3.400
Al Tl Ru
1 1 1
Direct
0.000 0.000 0.000
0.333 0.667 0.500
0.667 0.333 0.000
```

Summary:
E, eV per cell: -14.89
Formation enthalpy at 0 K, eV per atom: 0.164
Energy above the lowest structure with this stoichiometry, meV per atom: 154